[1]
Na5Ti3O8: PBEsol geometry, meta-GGA SCAN. Values from VASP.

Quantum ESPRESSO input file:
```
&SYSTEM
  ibrav = 0, nat = 16, ntyp = 3
/
ATOMIC_SPECIES
Na 22.99 Na.upf
Ti 47.87 Ti.upf
O 16.00 O.upf
ATOMIC_POSITIONS angstrom
Na 3.045 3.516 2.678
Na 0.000 0.000 0.000
Na 4.568 0.879 2.678
Na 1.523 0.879 2.678
Na 6.090 3.516 2.678
Ti 4.568 2.637 0.000
Ti 3.045 0.000 0.000
Ti 1.523 2.637 0.000
O 3.045 1.758 1.106
O 7.471 4.313 1.074
O 4.709 4.313 1.074
O 7.471 2.719 4.281
O 6.090 5.111 4.281
O 9.135 5.274 4.249
O 6.090 1.922 1.074
O 4.709 2.719 4.281
CELL_PARAMETERS angstrom
6.090 0.000 0.000
3.045 5.274 0.000
3.045 1.758 5.355
```

Computed properties:
Raw formation energy = -42.33 eV/f.u.



[2]
Na6Ti2O7: PBEsol geometry, meta-GGA SCAN. Values from VASP.

Quantum ESPRESSO input file:
```
&SYSTEM
  ibrav = 0, nat = 30, ntyp = 3
/
ATOMIC_SPECIES
Na 22.99 Na.upf
Ti 47.87 Ti.upf
O 16.00 O.upf
ATOMIC_POSITIONS angstrom
Na 1.211 6.453 1.094
Na 4.043 4.433 1.231
Na 4.190 0.134 1.397
Na 4.043 6.779 3.330
Na 1.211 4.759 3.467
Na 4.190 2.221 3.173
Na 1.043 2.489 5.967
Na 4.022 -0.049 5.674
Na 1.190 -2.070 5.810
Na 1.043 4.576 7.744
Na 1.190 0.277 7.910
Na 4.022 -1.744 8.046
Ti 1.589 2.372 0.961
Ti 1.589 -0.017 3.609
Ti 3.644 4.727 5.532
Ti 3.644 2.338 8.179
O 4.123 6.825 0.754
O 1.202 4.103 1.285
O 3.373 2.222 1.032
O 1.202 7.109 3.276
O 0.883 1.177 2.285
O 4.123 4.387 3.807
O 3.373 0.133 3.538
O 1.860 4.577 5.602
O 1.110 0.323 5.334
O 4.350 3.532 6.855
O 4.031 -2.399 5.865
O 1.860 2.488 8.109
O 4.031 0.607 7.855
O 1.110 -2.115 8.387
CELL_PARAMETERS angstrom
5.233 0.000 0.000
0.000 8.857 -0.009
0.000 -4.147 9.150
```

Computed properties:
ΔE to the lowest computed polymorph = 0 meV per atom
Raw formation energy = -36.58 eV/f.u.



[3]
Na3TiO: PBEsol geometry, meta-GGA SCAN. Values from VASP.

Quantum ESPRESSO input file:
```
&SYSTEM
  ibrav = 0, nat = 5, ntyp = 3
/
ATOMIC_SPECIES
Na 22.99 Na.upf
O 16.00 O.upf
Ti 47.87 Ti.upf
ATOMIC_POSITIONS angstrom
Na 0.000 2.924 0.000
Na 0.000 0.000 2.924
Na 2.924 0.000 0.000
O 2.924 2.924 2.924
Ti 0.000 0.000 0.000
CELL_PARAMETERS angstrom
5.848 0.000 0.000
0.000 5.848 0.000
0.000 0.000 5.848
```

Computed properties:
Raw formation energy = 6.58 eV/f.u.



[4]
Na3Ti8O16: PBEsol geometry, meta-GGA SCAN. Values from VASP.

Quantum ESPRESSO input file:
```
&SYSTEM
  ibrav = 0, nat = 27, ntyp = 3
/
ATOMIC_SPECIES
Na 22.99 Na.upf
Ti 47.87 Ti.upf
O 16.00 O.upf
ATOMIC_POSITIONS angstrom
Na 1.469 2.229 3.683
Na 0.000 2.361 9.044
Na 0.000 6.951 6.990
Ti 1.469 5.202 4.114
Ti 1.469 0.516 1.189
Ti 0.000 4.017 6.519
Ti 0.000 8.574 9.534
Ti 1.469 5.354 9.630
Ti 1.469 0.755 6.444
Ti 0.000 3.844 1.111
Ti 0.000 8.421 4.233
O 1.469 7.268 9.070
O 1.469 2.693 6.947
O 0.000 1.881 1.554
O 0.000 6.499 3.891
O 1.469 8.157 5.591
O 1.469 3.531 10.465
O 0.000 1.065 5.131
O 0.000 5.604 0.188
O 1.469 5.311 6.106
O 1.469 0.716 9.899
O 0.000 3.869 4.585
O 0.000 8.471 0.767
O 1.469 9.043 3.062
O 1.469 4.311 2.357
O 0.000 0.214 7.672
O 0.000 4.798 8.367
CELL_PARAMETERS angstrom
2.939 0.000 0.000
0.000 9.178 0.016
0.000 -0.001 10.684
```

Computed properties:
ΔE to the lowest computed polymorph = 0 meV per atom
Raw formation energy = -83.32 eV/f.u.



[5]
Na3Ti8O16: PBEsol geometry, meta-GGA SCAN. Values from VASP.

Quantum ESPRESSO input file:
```
&SYSTEM
  ibrav = 0, nat = 54, ntyp = 3
/
ATOMIC_SPECIES
Na 22.99 Na.upf
Ti 47.87 Ti.upf
O 16.00 O.upf
ATOMIC_POSITIONS angstrom
Na 3.028 5.329 6.059
Na 3.028 7.474 9.097
Na 3.028 7.474 3.021
Na 0.000 1.080 3.038
Na 0.000 1.080 9.081
Na 0.000 3.225 0.000
Ti 4.543 4.277 3.030
Ti 4.543 4.277 9.089
Ti 1.514 4.277 3.030
Ti 1.514 4.277 9.089
Ti 0.000 6.394 1.489
Ti 0.000 6.340 4.573
Ti 0.000 6.394 10.630
Ti 0.000 6.340 7.546
Ti 4.515 8.488 0.000
Ti 1.542 8.488 0.000
Ti 1.486 0.066 6.059
Ti 4.570 0.066 6.059
Ti 3.028 2.214 1.486
Ti 3.028 2.160 4.570
Ti 3.028 2.160 7.548
Ti 3.028 2.214 10.632
O 0.000 4.415 1.749
O 0.000 4.412 4.340
O 0.000 4.412 7.778
O 0.000 4.415 10.370
O 1.285 6.254 3.044
O 1.285 6.254 9.075
O 4.772 6.254 9.075
O 4.772 6.254 3.044
O 1.308 6.541 0.000
O 4.749 6.541 0.000
O 1.299 6.582 6.059
O 4.757 6.582 6.059
O 0.000 8.377 10.822
O 0.000 8.393 4.766
O 0.000 8.377 1.297
O 0.000 8.393 7.353
O 3.028 0.177 4.763
O 3.028 0.161 10.825
O 3.028 0.161 1.293
O 3.028 0.177 7.356
O 1.721 2.013 6.059
O 4.328 1.972 0.000
O 4.336 2.013 6.059
O 1.729 1.972 0.000
O 4.314 2.300 3.015
O 4.314 2.300 9.103
O 1.743 2.300 9.103
O 1.743 2.300 3.015
O 3.028 4.139 4.310
O 3.028 4.142 1.719
O 3.028 4.139 7.808
O 3.028 4.142 10.400
CELL_PARAMETERS angstrom
6.057 0.000 0.000
0.000 8.554 0.000
0.000 0.000 12.119
```

Computed properties:
ΔE to the lowest computed polymorph = 46 meV per atom
Raw formation energy = -82.07 eV/f.u.



[6]
NaTi8O16: PBEsol geometry, meta-GGA SCAN. Values from VASP.

Quantum ESPRESSO input file:
```
&SYSTEM
  ibrav = 0, nat = 25, ntyp = 3
/
ATOMIC_SPECIES
Na 22.99 Na.upf
Ti 47.87 Ti.upf
O 16.00 O.upf
ATOMIC_POSITIONS angstrom
Na -5.208 -0.583 1.044
Ti -9.214 -3.996 2.575
Ti -6.113 -4.158 2.363
Ti -11.693 -3.310 0.074
Ti -10.073 -0.969 0.881
Ti -1.943 -0.944 1.034
Ti -3.505 -3.266 0.212
Ti -7.637 -1.652 3.405
Ti -7.746 -6.612 1.901
O -10.244 -2.872 1.384
O -7.601 -3.008 1.943
O -9.016 -2.848 4.181
O -10.669 -5.143 3.304
O -7.715 -5.191 3.155
O -10.063 0.980 0.643
O -11.659 -1.392 -0.197
O -3.413 -1.323 -0.277
O -8.675 -0.540 2.209
O -3.591 -5.191 0.490
O -1.993 -2.839 1.308
O -9.241 -5.369 1.231
O -4.701 -2.983 1.815
O -6.347 -5.430 0.949
O -6.154 -2.871 3.977
O -4.984 -3.705 -1.060
CELL_PARAMETERS angstrom
-3.169 -4.711 -1.668
-1.678 -4.009 4.013
-9.565 2.428 0.818
```

Computed properties:
Raw formation energy = -79.52 eV/f.u.



[7]
Na4Ti7O16: PBEsol geometry, meta-GGA SCAN. Values from VASP.

Quantum ESPRESSO input file:
```
&SYSTEM
  ibrav = 0, nat = 27, ntyp = 3
/
ATOMIC_SPECIES
Na 22.99 Na.upf
Ti 47.87 Ti.upf
O 16.00 O.upf
ATOMIC_POSITIONS angstrom
Na 2.232 2.983 8.892
Na 2.435 2.983 6.121
Na 5.142 1.533 5.169
Na 5.142 4.432 5.169
Ti 0.279 0.000 1.291
Ti 0.076 2.983 1.495
Ti 2.378 0.000 6.082
Ti 2.836 1.488 3.370
Ti 2.836 4.477 3.370
Ti 5.033 1.501 8.113
Ti 5.033 4.464 8.113
O 0.730 0.000 7.130
O 0.440 2.983 7.188
O 0.953 1.517 0.341
O 0.953 4.448 0.341
O 1.753 4.623 4.872
O 1.753 1.342 4.872
O 1.783 2.983 2.494
O 1.915 0.000 2.416
O 3.590 1.305 6.962
O 3.590 4.660 6.962
O 3.741 0.000 4.317
O 3.722 2.983 4.163
O 4.308 2.983 9.179
O 4.373 0.000 9.158
O 4.661 1.470 2.231
O 4.661 4.495 2.231
CELL_PARAMETERS angstrom
5.476 0.000 0.032
0.000 5.965 0.000
-0.150 0.000 9.360
```

Computed properties:
ΔE to the lowest computed polymorph = 19 meV per atom
Raw formation energy = -80.33 eV/f.u.



[8]
Na6Ti2O7: PBEsol geometry, meta-GGA SCAN. Values from VASP.

Quantum ESPRESSO input file:
```
&SYSTEM
  ibrav = 0, nat = 30, ntyp = 3
/
ATOMIC_SPECIES
Na 22.99 Na.upf
Ti 47.87 Ti.upf
O 16.00 O.upf
ATOMIC_POSITIONS angstrom
Na -6.859 4.227 0.871
Na -8.381 5.953 2.866
Na -4.685 1.409 -1.186
Na -8.815 2.776 2.726
Na -8.616 -1.221 1.790
Na -4.260 7.315 1.797
Na -4.998 -0.917 1.205
Na -4.579 1.964 2.096
Na -2.336 0.381 0.433
Na -6.627 2.570 4.922
Na -7.062 -0.606 4.781
Na -1.989 5.043 3.025
Ti -6.076 -3.506 3.277
Ti -7.542 1.364 -0.280
Ti -3.410 4.334 0.370
Ti -5.433 4.937 3.524
O -8.587 2.682 0.371
O -8.584 -0.169 -0.688
O -3.711 1.724 -3.256
O -10.420 4.469 2.909
O -4.184 5.083 -1.059
O -6.187 0.965 0.819
O -7.003 4.125 3.211
O -5.727 6.703 3.748
O -4.422 4.627 1.949
O -3.106 2.572 0.141
O -8.441 1.225 4.437
O -7.427 -3.101 2.176
O -3.313 0.069 2.504
O -4.665 4.188 4.957
CELL_PARAMETERS angstrom
-3.564 1.813 -4.368
-6.596 -3.928 3.751
-1.817 7.488 4.645
```

Computed properties:
ΔE to the lowest computed polymorph = 44 meV per atom
Raw formation energy = -35.92 eV/f.u.



Repeat the sixth record exactly.
NaTi8O16: PBEsol geometry, meta-GGA SCAN. Values from VASP.

Quantum ESPRESSO input file:
```
&SYSTEM
  ibrav = 0, nat = 25, ntyp = 3
/
ATOMIC_SPECIES
Na 22.99 Na.upf
Ti 47.87 Ti.upf
O 16.00 O.upf
ATOMIC_POSITIONS angstrom
Na -5.208 -0.583 1.044
Ti -9.214 -3.996 2.575
Ti -6.113 -4.158 2.363
Ti -11.693 -3.310 0.074
Ti -10.073 -0.969 0.881
Ti -1.943 -0.944 1.034
Ti -3.505 -3.266 0.212
Ti -7.637 -1.652 3.405
Ti -7.746 -6.612 1.901
O -10.244 -2.872 1.384
O -7.601 -3.008 1.943
O -9.016 -2.848 4.181
O -10.669 -5.143 3.304
O -7.715 -5.191 3.155
O -10.063 0.980 0.643
O -11.659 -1.392 -0.197
O -3.413 -1.323 -0.277
O -8.675 -0.540 2.209
O -3.591 -5.191 0.490
O -1.993 -2.839 1.308
O -9.241 -5.369 1.231
O -4.701 -2.983 1.815
O -6.347 -5.430 0.949
O -6.154 -2.871 3.977
O -4.984 -3.705 -1.060
CELL_PARAMETERS angstrom
-3.169 -4.711 -1.668
-1.678 -4.009 4.013
-9.565 2.428 0.818
```

Computed properties:
Raw formation energy = -79.52 eV/f.u.